1.
Crystalline Sm3Mg3AlIr2 at its relaxed geometry. Source: OQMD via LeMat-Bulk, functional PBE-GGA.

```
Sm3Mg3AlIr2
1.0
7.443 0.000 0.000
-3.722 6.446 0.000
0.000 0.000 4.212
Al Ir Mg Sm
1 2 3 3
Direct
0.000 0.000 0.000
0.667 0.333 0.500
0.333 0.667 0.500
0.251 0.000 0.500
0.000 0.251 0.500
0.749 0.749 0.500
0.576 0.000 0.000
0.424 0.424 0.000
0.000 0.576 0.000
```

DFT total energy ... -44.48 eV for the cell shown
Crystal system ... hexagonal
Space group ... P-62m
M_tot ... 0.01 μB per cell

2.
Crystalline Cs2CdSe4 at its relaxed geometry. Source: OQMD via LeMat-Bulk, functional PBE-GGA.

```
Cs2CdSe4
1.0
-3.283 4.975 -6.277
-6.092 6.124 0.550
9.551 2.642 3.485
Cd Cs Se
2 4 8
Direct
0.819 0.819 0.265
0.181 0.181 0.735
0.404 0.404 0.123
0.142 0.142 0.274
0.858 0.858 0.726
0.596 0.596 0.877
0.873 0.873 0.077
0.681 0.681 0.327
0.616 0.232 0.490
0.232 0.616 0.490
0.768 0.384 0.510
0.384 0.768 0.510
0.319 0.319 0.673
0.127 0.127 0.923
```

DFT total energy ... -41.78 eV for the cell shown
Crystal system ... monoclinic
Space group ... C2/m

3.
Crystalline HoSiH2O4 at its relaxed geometry. Source: OQMD via LeMat-Bulk, functional PBE-GGA.

```
HoSiH2O4
1.0
-5.859 -0.319 2.159
0.843 -6.389 1.345
3.599 1.093 2.937
H Ho O Si
4 2 8 2
Direct
0.495 0.750 0.148
0.000 0.000 0.500
0.000 0.500 0.500
0.505 0.250 0.852
0.152 0.250 0.152
0.848 0.750 0.848
0.465 0.250 0.047
0.092 0.551 0.339
0.092 0.949 0.339
0.478 0.750 0.419
0.522 0.250 0.581
0.908 0.051 0.661
0.908 0.449 0.661
0.535 0.750 0.953
0.713 0.250 0.434
0.287 0.750 0.566
```

DFT total energy ... -105.19 eV for the cell shown
ΔE to the lowest computed polymorph ... 1.1 kJ/mol of atoms
Crystal system ... monoclinic
Space group ... P2_1/m
M_tot ... 1.92 μB per cell

4.
Crystalline Dy3Nb3Mo2N12 at its relaxed geometry. Source: OQMD via LeMat-Bulk, functional PBE-GGA.

```
Dy3Nb3Mo2N12
1.0
-6.396 6.396 6.396
6.396 -6.396 6.396
6.396 6.396 -6.396
Dy Mo N Nb
12 8 48 12
Direct
0.250 0.375 0.125
0.375 0.750 0.125
0.375 0.125 0.250
0.875 0.625 0.250
0.750 0.125 0.375
0.125 0.250 0.375
0.875 0.750 0.625
0.250 0.875 0.625
0.125 0.375 0.750
0.625 0.875 0.750
0.625 0.250 0.875
0.750 0.625 0.875
0.000 0.000 0.000
0.500 0.000 0.000
0.000 0.500 0.000
0.500 0.500 0.000
0.000 0.000 0.500
0.500 0.000 0.500
0.000 0.500 0.500
0.500 0.500 0.500
0.324 0.908 0.026
0.201 0.118 0.026
0.882 0.408 0.084
0.701 0.676 0.084
0.618 0.416 0.092
0.974 0.676 0.092
0.592 0.916 0.118
0.026 0.201 0.118
0.201 0.584 0.176
0.474 0.592 0.176
0.118 0.026 0.201
0.584 0.176 0.201
0.474 0.382 0.299
0.324 0.916 0.299
0.908 0.026 0.324
0.916 0.299 0.324
0.299 0.474 0.382
0.584 0.908 0.382
0.824 0.526 0.408
0.084 0.882 0.408
0.092 0.618 0.416
0.824 0.799 0.416
0.592 0.176 0.474
0.382 0.299 0.474
0.618 0.701 0.526
0.408 0.824 0.526
0.176 0.201 0.584
0.908 0.382 0.584
0.916 0.118 0.592
0.176 0.474 0.592
0.416 0.092 0.618
0.701 0.526 0.618
0.084 0.701 0.676
0.092 0.974 0.676
0.676 0.084 0.701
0.526 0.618 0.701
0.416 0.824 0.799
0.882 0.974 0.799
0.526 0.408 0.824
0.799 0.416 0.824
0.408 0.084 0.882
0.974 0.799 0.882
0.026 0.324 0.908
0.382 0.584 0.908
0.299 0.324 0.916
0.118 0.592 0.916
0.676 0.092 0.974
0.799 0.882 0.974
0.875 0.250 0.125
0.750 0.875 0.125
0.625 0.375 0.250
0.125 0.875 0.250
0.250 0.625 0.375
0.625 0.750 0.375
0.375 0.250 0.625
0.750 0.375 0.625
0.875 0.125 0.750
0.375 0.625 0.750
0.250 0.125 0.875
0.125 0.750 0.875
```

DFT total energy ... -726.61 eV for the cell shown
Crystal system ... cubic
Space group ... Ia-3d
M_tot ... 0.04 μB per cell

5.
Crystalline LaMgAl7Fe2 at its relaxed geometry. Source: OQMD via LeMat-Bulk, functional PBE-GGA.

```
LaMgAl7Fe2
1.0
-6.776 0.016 -10.976
-5.568 -13.023 3.418
-3.052 1.800 1.887
Al Fe La Mg
28 8 4 4
Direct
0.500 0.000 0.000
0.091 0.243 0.000
0.591 0.257 0.000
0.000 0.500 0.000
0.409 0.743 0.000
0.909 0.757 0.000
0.000 0.000 0.500
0.338 0.004 0.500
0.157 0.118 0.500
0.522 0.134 0.500
0.726 0.174 0.500
0.951 0.177 0.500
0.451 0.323 0.500
0.226 0.326 0.500
0.022 0.366 0.500
0.657 0.382 0.500
0.838 0.496 0.500
0.500 0.500 0.500
0.162 0.504 0.500
0.343 0.618 0.500
0.978 0.634 0.500
0.774 0.674 0.500
0.549 0.677 0.500
0.049 0.823 0.500
0.274 0.826 0.500
0.478 0.866 0.500
0.843 0.882 0.500
0.662 0.996 0.500
0.033 0.090 0.000
0.637 0.102 0.000
0.137 0.398 0.000
0.533 0.410 0.000
0.467 0.590 0.000
0.863 0.602 0.000
0.363 0.898 0.000
0.967 0.910 0.000
0.339 0.182 0.000
0.839 0.318 0.000
0.161 0.682 0.000
0.661 0.818 0.000
0.830 0.048 0.000
0.330 0.452 0.000
0.670 0.548 0.000
0.170 0.952 0.000
```

DFT total energy ... -213.75 eV for the cell shown
Crystal system ... orthorhombic
Space group ... Pbam
M_tot ... 3.78 μB per cell

6.
Crystalline LuAgSeO at its relaxed geometry. Source: OQMD via LeMat-Bulk, functional PBE-GGA.

```
LuAgSeO
1.0
-6.489 1.881 1.017
-0.300 -4.173 5.804
3.232 4.306 3.263
Ag Lu O Se
4 4 4 4
Direct
0.939 0.294 0.007
0.061 0.794 0.493
0.939 0.206 0.507
0.061 0.706 0.993
0.548 0.629 0.221
0.452 0.129 0.279
0.548 0.871 0.721
0.452 0.371 0.779
0.578 0.345 0.114
0.422 0.845 0.386
0.578 0.155 0.614
0.422 0.655 0.886
0.798 0.946 0.157
0.202 0.446 0.343
0.798 0.554 0.657
0.202 0.054 0.843
```

DFT total energy ... -91.95 eV for the cell shown
Crystal system ... monoclinic
Space group ... P2_1/c
M_tot ... 0.00 μB per cell

7.
Crystalline Er2TmSc3CuTe2 at its relaxed geometry. Source: OQMD via LeMat-Bulk, functional PBE-GGA.

```
Er2TmSc3CuTe2
1.0
3.919 0.000 0.000
0.000 6.922 3.992
0.000 -6.922 3.992
Cu Er Sc Te Tm
1 2 3 2 1
Direct
0.000 0.001 0.001
0.000 0.000 0.606
0.000 0.606 0.000
0.500 0.238 0.000
0.500 0.000 0.238
0.500 0.762 0.762
0.500 0.666 0.333
0.500 0.333 0.666
0.000 0.393 0.393
```

DFT total energy ... -48.41 eV for the cell shown
Crystal system ... orthorhombic
Space group ... Amm2
M_tot ... 0.01 μB per cell

8.
Crystalline LuTc2Ge2 at its relaxed geometry. Source: OQMD via LeMat-Bulk, functional PBE-GGA.

```
LuTc2Ge2
1.0
0.033 4.624 3.366
-4.696 3.238 -0.416
0.997 -5.575 0.797
Ge Lu Tc
2 1 2
Direct
0.750 0.250 0.500
0.250 0.750 0.500
0.000 0.000 0.000
0.381 0.381 0.000
0.619 0.619 0.000
```

DFT total energy ... -35.48 eV for the cell shown
ΔE to the lowest computed polymorph ... 15.4 kJ/mol of atoms
Crystal system ... tetragonal
Space group ... I4/mmm
M_tot ... 0.00 μB per cell

9.
Crystalline PaTeAsO at its relaxed geometry. Source: OQMD via LeMat-Bulk, functional PBE-GGA.

```
PaTeAsO
1.0
-2.039 2.128 -3.632
0.102 -4.009 -2.406
-6.962 -1.867 2.815
As O Pa Te
2 2 2 2
Direct
0.750 0.750 0.289
0.250 0.250 0.711
0.750 0.250 0.000
0.250 0.750 0.000
0.750 0.250 0.500
0.250 0.750 0.500
0.250 0.250 0.080
0.750 0.750 0.920
```

DFT total energy ... -42.22 eV for the cell shown
ΔE to the lowest computed polymorph ... 105.6 kJ/mol of atoms
Crystal system ... tetragonal
Space group ... P4/nmm
M_tot ... 1.19 μB per cell

10.
Crystalline Nd4SiO3 at its relaxed geometry. Source: OQMD via LeMat-Bulk, functional PBE-GGA.

```
Nd4SiO3
1.0
-2.673 2.673 5.259
2.673 -2.673 5.259
2.673 2.673 -5.259
Nd O Si
4 3 1
Direct
0.266 0.266 0.000
0.734 0.734 0.000
0.500 0.000 0.500
0.000 0.500 0.500
0.500 0.500 0.000
0.750 0.250 0.500
0.250 0.750 0.500
0.000 0.000 0.000
```

DFT total energy ... -55.80 eV for the cell shown
Crystal system ... tetragonal
Space group ... I4/mmm
M_tot ... 0.01 μB per cell

11.
Crystalline MgFeGePb at its relaxed geometry. Source: OQMD via LeMat-Bulk, functional PBE-GGA.

```
MgFeGePb
1.0
2.173 -4.114 -0.882
1.677 -2.608 3.580
-2.107 -4.084 1.144
Fe Ge Mg Pb
1 1 1 1
Direct
0.250 0.250 0.250
0.000 0.000 0.000
0.750 0.750 0.750
0.500 0.500 0.500
```

DFT total energy ... -16.71 eV for the cell shown
ΔE to the lowest computed polymorph ... 0.0 kJ/mol of atoms
Crystal system ... cubic
Space group ... F-43m
M_tot ... 2.05 μB per cell

12.
Crystalline Sc4NiPbN2 at its relaxed geometry. Source: OQMD via LeMat-Bulk, functional PBE-GGA.

```
Sc4NiPbN2
1.0
3.275 0.000 0.000
-1.637 2.836 0.000
0.000 0.000 13.758
N Ni Pb Sc
2 1 1 4
Direct
0.333 0.667 0.237
0.333 0.667 0.763
0.000 0.000 0.000
0.667 0.333 0.500
0.667 0.333 0.136
0.000 0.000 0.315
0.000 0.000 0.685
0.667 0.333 0.864
```

DFT total energy ... -59.84 eV for the cell shown
Crystal system ... hexagonal
Space group ... P-6m2
M_tot ... 0.02 μB per cell